Density functional theory data (PBE) for a geometry-optimized CuPdI3 structure.

```
5
Lattice="-1.3703 3.7252 4.0463 -2.4512 -3.0920 1.8955 4.8497 -4.5589 1.8034" Properties=species:S:1:pos:R:3 pbc="T T T"
Cu -0.6368 -2.8668 1.9800
Pd 1.2334 -2.0437 3.9079
I 0.2185 -0.3292 2.0708
I 1.6751 -4.0623 1.9219
I 1.4162 -4.0607 5.6974
```

## Properties
E_form (uncorrected) = -0.11 eV per atom
space group = P1, No. 1
E above lowest polymorph = 26 meV/atom

Density functional theory data (PBE) for a geometry-optimized Rb3Cu2PdI9 structure.

```
15
Lattice="-7.6877 2.1489 -0.5202 3.9201 -2.4452 -6.5301 -2.6837 -9.1606 1.8192" Properties=species:S:1:pos:R:3 pbc="T T T"
Rb -1.7433 -7.0381 -3.3106
Rb 0.0000 0.0000 0.0000
Rb -4.7080 -2.4189 -1.9205
Cu -0.3753 -2.3684 -4.2379
Cu -6.0760 -7.0885 -0.9932
Pd -1.3419 -4.5803 0.9096
I -7.5456 -4.7075 -0.3079
I -5.5781 -5.9347 -3.5854
I -3.6872 -5.7860 -0.0469
I -2.7641 -3.6709 -5.1842
I -0.8732 -3.5222 -1.6457
I 1.0943 -4.7495 -4.9232
I -3.8438 1.0745 -0.2601
I 1.9601 -1.2226 -3.2650
I -1.8838 -0.1482 -3.5251
```

## Properties
E_form (uncorrected) = -0.63 eV per atom
space group = P-3m1, No. 164

Density functional theory data (PBE) for a geometry-optimized Rb2CuPdI6 structure.

```
10
Lattice="8.0918 0.0000 0.0000 0.0000 8.0918 0.0000 4.0459 4.0459 5.5597" Properties=species:S:1:pos:R:3 pbc="T T T"
I 4.0459 4.0459 2.6576
I 8.0918 8.0918 2.9021
I 1.9569 1.9569 0.0000
I 6.1349 6.1349 0.0000
I 6.1349 1.9569 0.0000
I 1.9569 6.1349 0.0000
Cu 4.0459 4.0459 0.0000
Rb 8.0918 4.0459 2.7799
Rb 4.0459 8.0918 2.7799
Pd 0.0000 0.0000 0.0000
```

## Properties
E_form (uncorrected) = -0.65 eV per atom
space group = I4/mmm, No. 139

Density functional theory data (PBE) for a geometry-optimized Rb3Cu2PdI6 structure.

```
12
Lattice="-6.6005 5.0180 1.2015 1.5721 -6.2170 5.3915 5.3199 5.7747 5.1077" Properties=species:S:1:pos:R:3 pbc="T T T"
Rb 2.3096 1.2856 7.3185
Rb -2.0182 3.2900 4.3822
Rb 0.0000 0.0000 0.0000
Cu -0.0737 5.4007 6.2492
Cu 0.3651 -0.8251 5.4516
Pd 2.6600 2.8873 2.5539
I -1.5550 -0.0558 6.8985
I 1.0631 0.5685 3.4659
I 1.8816 -2.6684 6.2729
I -0.7717 4.0071 8.2349
I 1.8464 4.6314 4.8022
I -1.5902 7.2440 5.4278
```

## Properties
E_form (uncorrected) = -0.68 eV per atom
space group = P-3m1, No. 164

Density functional theory data (PBE) for a geometry-optimized CuRe2PdI structure.

```
5
Lattice="4.8916 0.0000 0.0000 0.0000 4.7400 0.0000 0.0000 0.0000 4.8916" Properties=species:S:1:pos:R:3 pbc="T T T"
I 2.4458 2.3700 2.4458
Re 0.0000 0.0000 2.4458
Re 2.4458 0.0000 0.0000
Cu 0.0000 2.3700 0.0000
Pd 0.0000 0.0000 0.0000
```

## Properties
E_form (uncorrected) = 2.06 eV per atom
space group = P4/mmm, No. 123

Density functional theory data (PBE) for a geometry-optimized CuSbPdI2 structure.

```
5
Lattice="-3.8450 -4.2536 -2.0776 -0.7936 -1.5663 4.6756 -4.6336 3.9297 0.5299" Properties=species:S:1:pos:R:3 pbc="T T T"
I -2.3168 1.9648 0.2650
I -1.9225 -2.1268 -1.0388
Sb 0.0000 0.0000 0.0000
Cu -4.6361 -0.9451 1.5640
Pd -0.3968 -0.7832 2.3378
```

## Properties
E_form (uncorrected) = 0.65 eV per atom
space group = P4/mmm, No. 123
E above lowest polymorph = 80 meV/atom

Density functional theory data (PBE) for a geometry-optimized CuSbPdI2 structure.

```
5
Lattice="-0.8256 5.1200 2.0385 -4.3723 -1.8632 2.9090 3.0996 -1.0797 3.9673" Properties=species:S:1:pos:R:3 pbc="T T T"
I -2.1862 -0.9316 1.4545
I -0.4128 2.5600 1.0192
Sb 1.5498 -0.5399 1.9836
Cu -1.0492 1.0885 4.4574
Pd 0.0000 0.0000 0.0000
```

## Properties
E_form (uncorrected) = 0.57 eV per atom
space group = P4/mmm, No. 123
E above lowest polymorph = 0 meV/atom

Density functional theory data (PBE) for a geometry-optimized ScCu2PdI structure.

```
5
Lattice="4.7500 0.0000 0.0000 0.0000 5.3063 0.0000 0.0000 0.0000 4.7500" Properties=species:S:1:pos:R:3 pbc="T T T"
I 0.0000 0.0000 0.0000
Sc 0.0000 2.6532 0.0000
Cu 0.0000 0.0000 2.3750
Cu 2.3750 0.0000 0.0000
Pd 2.3750 2.6532 2.3750
```

## Properties
E_form (uncorrected) = 0.85 eV per atom
space group = P4/mmm, No. 123

Density functional theory data (PBE) for a geometry-optimized CuTe2PdI structure.

```
5
Lattice="5.3035 0.0000 0.0000 0.0000 5.3035 0.0000 0.0000 0.0000 5.4946" Properties=species:S:1:pos:R:3 pbc="T T T"
I 0.0000 0.0000 2.7473
Te 0.0000 2.6518 0.0000
Te 2.6518 0.0000 0.0000
Cu 2.6518 2.6518 2.7473
Pd 0.0000 0.0000 0.0000
```

## Properties
E_form (uncorrected) = 0.60 eV per atom
space group = P4/mmm, No. 123
E above lowest polymorph = 0 meV/atom

Density functional theory data (PBE) for a geometry-optimized TlCuPdI5 structure.

```
16
Lattice="-2.4071 -1.4072 7.4203 3.4697 -6.7453 -2.3017 8.0910 7.0761 1.0056" Properties=species:S:1:pos:R:3 pbc="T T T"
Tl 3.4960 -3.1629 1.2524
Tl 5.6576 2.0864 4.8719
Cu 1.3675 -1.2295 4.7736
Cu 7.7861 0.1530 1.3506
Pd 4.0455 3.5380 0.5028
Pd 0.0000 0.0000 0.0000
I 5.1164 -4.6348 -1.4282
I 4.0372 3.5583 7.5525
I -0.3800 -2.6479 6.0434
I 9.5336 1.5715 0.0808
I 1.9928 1.2083 5.3604
I 7.1608 -2.2848 0.7639
I 3.7551 -2.3337 4.6765
I 5.3985 1.2572 1.4478
I 0.5369 -1.5396 2.2951
I 8.6167 0.4631 3.8292
```

## Properties
E_form (uncorrected) = -0.26 eV per atom
space group = C2/c, No. 15

Density functional theory data (PBE) for a geometry-optimized Tl2CuPdI6 structure.

```
10
Lattice="7.3515 -0.0093 -0.0003 -0.0093 7.3514 0.0002 -3.6714 -3.6706 7.0027" Properties=species:S:1:pos:R:3 pbc="T T T"
Tl 3.6748 -0.0014 4.0226
Tl -0.0079 3.6790 4.0228
Cu 3.6726 3.6742 0.6254
Pd 0.0006 0.0042 0.3475
I 1.8215 1.8270 6.6349
I 3.6713 3.6748 3.2049
I -1.8210 -1.8178 6.6352
I 1.8303 -1.8243 6.6422
I -0.0009 0.0038 3.2220
I -1.8297 1.8333 6.6437
```

## Properties
E_form (uncorrected) = -0.26 eV per atom
space group = Fmm2, No. 42

Density functional theory data (PBE) for a geometry-optimized Tl2Cu2PdI6 structure.

```
11
Lattice="7.7249 0.0000 0.0000 -3.8625 7.6547 1.5754 0.0000 -2.8863 6.1433" Properties=species:S:1:pos:R:3 pbc="T T T"
Tl 3.8625 2.8132 2.0005
Tl 0.0000 1.9552 5.7183
Cu 3.8624 4.9990 6.3195
Cu 0.0000 -0.2306 1.3993
Pd 3.8625 -1.4432 3.0717
I 3.8625 2.6278 5.4746
I -1.8370 5.8621 2.7615
I 2.0255 -1.0937 4.9572
I 5.6994 -1.0937 4.9572
I 1.8370 5.8621 2.7615
I 0.0000 2.1406 2.2442
```

## Properties
E_form (uncorrected) = -0.31 eV per atom
space group = C2/m, No. 12